# Sr2Hg2Sb3 (PBE, optimized geometry)
# Total DFT energy (no corrections)   -2.900 eV/atom
# E_form (uncorrected)   -0.566 eV per atom
data_Sr2Hg2Sb3
_chemical_formula_sum 'Sr8 Hg8 Sb12'
_cell_length_a 17.654
_cell_length_b 4.872
_cell_length_c 13.085
_cell_angle_alpha 90.00
_cell_angle_beta 127.45
_cell_angle_gamma 90.00
_space_group_name_H-M_alt 'C 1 2/m 1'
_space_group_IT_number 12
loop_
_space_group_symop_operation_xyz
'x,y,z'
'-x,-y,-z'
'-x,y,-z'
'x,-y,z'
'x+1/2,y+1/2,z'
'-x+1/2,-y+1/2,-z'
'-x+1/2,y+1/2,-z'
'x+1/2,-y+1/2,z'
loop_
_atom_site_label
_atom_site_type_symbol
_atom_site_fract_x
_atom_site_fract_y
_atom_site_fract_z
Sr1 Sr 0.087 0.000 0.429
Sr2 Sr 0.239 0.000 0.839
Hg1 Hg 0.045 0.500 0.808
Hg2 Hg 0.115 0.000 0.179
Sb1 Sb 0.092 0.500 0.624
Sb2 Sb 0.117 0.000 0.960
Sb3 Sb 0.170 0.500 0.331